1.
A plane-wave DFT calculation with PBE-GGA was carried out for a relaxed structure of CsBi2Br8.

Properties
VASP energy, eV per atom: -2.82
Size of the total moment, μB per formula unit: 0.00
Raw formation energy, eV per atom: -0.82

a b c (Å): 5.7264 8.7124 8.7124
angles (deg): 116.64 90.09 90.09
Element x y z (fractional)
1 Br 0.7471 0.4995 0.4995
2 Br 0.2529 0.5005 0.5005
3 Br 0.5000 0.7439 0.2561
4 Br 0.5000 0.2561 0.7439
5 Br 0.0017 0.3261 0.0529
6 Br 0.0017 0.0529 0.3261
7 Br 0.9983 0.6739 0.9471
8 Br 0.9983 0.9471 0.6739
9 Bi 0.0000 0.7033 0.2967
10 Bi 0.0000 0.2967 0.7033
11 Cs 0.5000 0.0000 0.0000

=====

2.
A plane-wave DFT calculation with PBE-GGA was carried out for a relaxed structure of Pr2Sn3Rh5.

Properties
VASP energy, eV per atom: -6.42
Size of the total moment, μB per formula unit: 0.00
Energy of formation, eV per atom: -0.58

a b c (Å): 4.4661 6.8394 13.3636
angles (deg): 90.00 99.62 90.00
Element x y z (fractional)
1 Sn 0.9430 0.3818 0.8859
2 Sn 0.0570 0.8818 0.1141
3 Sn 0.6124 0.4956 0.2249
4 Sn 0.2207 0.3002 0.4414
5 Sn 0.7793 0.8002 0.5586
6 Sn 0.3876 0.9956 0.7751
7 Rh 0.7143 0.5067 0.4286
8 Rh 0.0451 0.4856 0.0903
9 Rh 0.8766 0.7070 0.7533
10 Rh 0.2857 0.0067 0.5714
11 Rh 0.3908 0.4308 0.7817
12 Rh 0.7050 0.0784 0.4099
13 Rh 0.1234 0.2070 0.2467
14 Rh 0.9549 0.9856 0.9097
15 Rh 0.6092 0.9308 0.2183
16 Rh 0.2950 0.5784 0.5901
17 Pr 0.8207 0.2856 0.6414
18 Pr 0.4816 0.6931 0.9632
19 Pr 0.5184 0.1931 0.0368
20 Pr 0.1793 0.7856 0.3586

=====

3.
A plane-wave DFT calculation with PBE-GGA was carried out for a relaxed structure of CaPd3F9.

Properties
VASP energy, eV per atom: -4.40
Size of the total moment, μB per formula unit: 0.08
Raw formation energy, eV per atom: -1.75

a b c (Å): 5.0868 9.5386 8.9080
angles (deg): 77.80 73.41 74.54
Each line ends with the local moment (μB).
Element x y z (fractional)
1 Pd 0.6546 0.6124 0.6565  0.53
2 Pd 0.3636 0.3901 0.3343  -0.46
3 Pd 0.4444 0.2443 0.7448  0.00
4 Pd 0.9119 0.8901 0.8343  -0.46
5 Pd 0.5665 0.7443 0.2448  0.00
6 Pd 0.0765 0.1124 0.1565  0.53
7 F 0.6424 0.5273 0.2996  -0.02
8 F 0.5307 0.0273 0.7996  -0.02
9 F 0.3702 0.4654 0.6992  0.02
10 F 0.8488 0.7731 0.6681  0.01
11 F 0.5365 0.2339 0.5076  -0.01
12 F 0.2194 0.5331 0.1595  -0.03
13 F 0.0124 0.4993 0.4976  0.01
14 F 0.7101 0.2731 0.1681  0.01
15 F 0.2764 0.7219 0.8304  0.00
16 F 0.9090 0.9766 0.3467  0.04
17 F 0.4789 0.7619 0.4798  0.01
18 F 0.9907 0.9993 0.9976  0.01
19 F 0.7676 0.4766 0.8467  0.04
20 F 0.4652 0.9654 0.1992  0.02
21 F 0.2794 0.2619 0.9798  0.01
22 F 0.0879 0.0331 0.6595  -0.03
23 F 0.1713 0.2219 0.3304  0.00
24 F 0.7220 0.7339 0.0076  -0.01
25 Ca 0.0796 0.5182 0.9537  0.00
26 Ca 0.4485 0.0182 0.4537  0.00

=====

Number 2 is which compound?
Pr2Sn3Rh5

=====

What is the formula in the third record?
CaPd3F9

=====

What did the second record say?
A plane-wave DFT calculation with PBE-GGA was carried out for a relaxed structure of Pr2Sn3Rh5.

Properties
VASP energy, eV per atom: -6.42
Size of the total moment, μB per formula unit: 0.00
Energy of formation, eV per atom: -0.58

a b c (Å): 4.4661 6.8394 13.3636
angles (deg): 90.00 99.62 90.00
Element x y z (fractional)
1 Sn 0.9430 0.3818 0.8859
2 Sn 0.0570 0.8818 0.1141
3 Sn 0.6124 0.4956 0.2249
4 Sn 0.2207 0.3002 0.4414
5 Sn 0.7793 0.8002 0.5586
6 Sn 0.3876 0.9956 0.7751
7 Rh 0.7143 0.5067 0.4286
8 Rh 0.0451 0.4856 0.0903
9 Rh 0.8766 0.7070 0.7533
10 Rh 0.2857 0.0067 0.5714
11 Rh 0.3908 0.4308 0.7817
12 Rh 0.7050 0.0784 0.4099
13 Rh 0.1234 0.2070 0.2467
14 Rh 0.9549 0.9856 0.9097
15 Rh 0.6092 0.9308 0.2183
16 Rh 0.2950 0.5784 0.5901
17 Pr 0.8207 0.2856 0.6414
18 Pr 0.4816 0.6931 0.9632
19 Pr 0.5184 0.1931 0.0368
20 Pr 0.1793 0.7856 0.3586

=====

Which value of size of the total moment does entry 2 give?
0.00 μB per formula unit